1.
DFT (PBE) results for an optimized crystal structure of USiS4.

## Properties
raw total energy	-66.35	eV per cell
energy relative to the elements, uncorrected	0.01	eV per atom

```
data_USiS4
_cell_length_a 5.3425
_cell_length_b 5.4382
_cell_length_c 13.7475
_cell_angle_alpha 90.00
_cell_angle_beta 90.00
_cell_angle_gamma 90.00
_symmetry_space_group_name_H-M 'P 2 2 2'
_symmetry_Int_Tables_number 16
loop_
_symmetry_equiv_pos_as_xyz
'x,y,z'
'-x,-y,z'
'x,-y,-z'
'-x,y,-z'
loop_
_atom_site_label
_atom_site_type_symbol
_atom_site_fract_x
_atom_site_fract_y
_atom_site_fract_z
_atom_site_occupancy
U1 U 0.0000 0.0000 0.0000 1
U2 U 0.5000 0.5000 0.0000 1
Si1 Si 0.0000 0.0000 0.5000 1
Si2 Si 0.5000 0.0000 0.0000 1
S1 S 0.2222 0.2755 0.8735 1
S2 S 0.5004 0.3216 0.4018 1
```

2.
DFT (PBE) results for an optimized crystal structure of Mn2ZnPd4.

## Properties
raw total energy	-83.29	eV per cell

```
data_Mn2ZnPd4
_cell_length_a 7.1111
_cell_length_b 7.8341
_cell_length_c 4.0952
_cell_angle_alpha 90.00
_cell_angle_beta 90.00
_cell_angle_gamma 90.00
_symmetry_space_group_name_H-M 'C m m m'
_symmetry_Int_Tables_number 65
_symmetry_space_group_name_Hall '-C 2 2'
loop_
_atom_site_label
_atom_site_type_symbol
_atom_site_fract_x
_atom_site_fract_y
_atom_site_fract_z
_atom_site_occupancy
Mn1 Mn 0.0000 0.2159 0.0000 1
Zn1 Zn 0.0000 0.5000 0.5000 1
Pd1 Pd 0.2201 0.5000 0.0000 1
Pd2 Pd 0.2500 0.2500 0.5000 1
```

3.
DFT (PBE) results for an optimized crystal structure of Ac7Cd2Sn2.

## Properties
raw total energy	-79.32	eV per cell

```
data_Ac7Cd2Sn2
_cell_length_a 8.5258
_cell_length_b 12.2820
_cell_length_c 8.4262
_cell_angle_alpha 90.00
_cell_angle_beta 90.00
_cell_angle_gamma 90.00
_symmetry_space_group_name_H-M 'C m m m'
_symmetry_Int_Tables_number 65
_symmetry_space_group_name_Hall '-C 2 2'
loop_
_atom_site_label
_atom_site_type_symbol
_atom_site_fract_x
_atom_site_fract_y
_atom_site_fract_z
_atom_site_occupancy
Ac1 Ac 0.0000 0.0000 0.0000 1
Ac2 Ac 0.0000 0.5000 0.2509 1
Ac3 Ac 0.2500 0.2500 0.2925 1
Cd1 Cd 0.0000 0.2854 0.0000 1
Sn1 Sn 0.1736 0.0000 0.5000 1
```

4.
DFT (PBE) results for an optimized crystal structure of TiAl2Os.

## Properties
raw total energy	-28.08	eV per cell

```
data_TiAl2Os
_cell_length_a 3.0222
_cell_length_b 3.0222
_cell_length_c 6.6542
_cell_angle_alpha 90.00
_cell_angle_beta 90.00
_cell_angle_gamma 90.00
_symmetry_space_group_name_H-M 'P 4/m m m'
_symmetry_Int_Tables_number 123
_symmetry_space_group_name_Hall '-P 4 2'
loop_
_atom_site_label
_atom_site_type_symbol
_atom_site_fract_x
_atom_site_fract_y
_atom_site_fract_z
_atom_site_occupancy
Ti1 Ti 0.0000 0.0000 0.0000 1
Al1 Al 0.5000 0.5000 0.2853 1
Os1 Os 0.0000 0.0000 0.5000 1
```

5.
DFT (PBE) results for an optimized crystal structure of HfAlAg.

## Properties
raw total energy	-67.85	eV per cell

```
data_HfAlAg
_cell_length_a 8.8203
_cell_length_b 4.2903
_cell_length_c 5.9933
_cell_angle_alpha 90.00
_cell_angle_beta 102.13
_cell_angle_gamma 90.00
_symmetry_space_group_name_H-M 'C 1 m 1'
_symmetry_Int_Tables_number 8
loop_
_symmetry_equiv_pos_as_xyz
'x,y,z'
'x,-y,z'
'x+1/2,y+1/2,z'
'x+1/2,-y+1/2,z'
loop_
_atom_site_label
_atom_site_type_symbol
_atom_site_fract_x
_atom_site_fract_y
_atom_site_fract_z
_atom_site_occupancy
Hf1 Hf 0.0000 0.0000 0.0000 1
Hf2 Hf 0.1666 0.5000 0.3259 1
Al1 Al 0.1645 0.5000 0.8284 1
Al2 Al 0.3330 0.0000 0.1663 1
Ag1 Ag 0.3272 0.0000 0.6769 1
Ag2 Ag 0.4980 0.5000 0.5078 1
```

6.
DFT (PBE) results for an optimized crystal structure of ZrSc2Cr.

## Properties
raw total energy	-29.97	eV per cell

```
data_ZrSc2Cr
_cell_length_a 4.3020
_cell_length_b 4.3020
_cell_length_c 4.5712
_cell_angle_alpha 90.00
_cell_angle_beta 90.00
_cell_angle_gamma 90.00
_symmetry_space_group_name_H-M 'P 4/m m m'
_symmetry_Int_Tables_number 123
_symmetry_space_group_name_Hall '-P 4 2'
loop_
_atom_site_label
_atom_site_type_symbol
_atom_site_fract_x
_atom_site_fract_y
_atom_site_fract_z
_atom_site_occupancy
Zr1 Zr 0.0000 0.0000 0.0000 1
Sc1 Sc 0.0000 0.5000 0.5000 1
Cr1 Cr 0.5000 0.5000 0.0000 1
```

Calculated values (Å³/atom) of V for the records, taken in order: 33.285, 16.296, 40.106, 15.194, 18.478, 21.150.